VASP calculation (PBE+U) on Cs2Rb4Co2O5 after structural relaxation.

Output
- Energy relative to the lowest polymorph listed for this composition: 0 meV/atom
- Calculated density: 4.5 g/cm³
- M_tot: 6.00 μB per formula unit

The structure in extended XYZ format:
```
13
Lattice="3.576 -5.878 0.000 3.576 5.878 0.000 -0.265 0.000 6.993" Properties=species:S:1:pos:R:3 pbc="T T T"
Co 1.029 0.000 0.804
Co 3.776 0.000 3.426
Cs 4.925 0.000 0.014
Cs -0.056 0.000 4.211
O 4.006 -4.230 0.352
O 4.006 4.230 0.352
O 2.533 0.000 2.075
O 4.533 -1.558 4.165
O 4.533 1.558 4.165
Rb 2.393 -2.824 2.205
Rb 2.393 2.824 2.205
Rb 2.334 -2.512 5.687
Rb 2.334 2.512 5.687
```